Material: YGe12Ir4
Method: DFT, GGA-PBE
State: relaxed

Cell: 7.518 7.518 7.518 Å, 109.47 109.47 109.47°
Fractional coordinates of all 17 atoms:
Y  0.000  0.000  0.000
Ge  0.500  0.848  0.652
Ge  0.848  0.652  0.500
Ge  0.500  0.152  0.348
Ge  0.152  0.652  0.805
Ge  0.805  0.152  0.652
Ge  0.848  0.348  0.195
Ge  0.195  0.848  0.348
Ge  0.152  0.348  0.500
Ge  0.348  0.195  0.848
Ge  0.348  0.500  0.152
Ge  0.652  0.500  0.848
Ge  0.652  0.805  0.152
Ir  0.500  0.500  0.500
Ir  0.000  0.000  0.500
Ir  0.000  0.500  0.000
Ir  0.500  0.000  0.000

Properties
- energy relative to the elements (eV/f.u.) = -3.46
- final energy (eV per atom) = -5.93


Material: Y4Ge8Ir
Method: DFT, GGA-PBE
State: relaxed

Cell: 4.045 4.157 16.262 Å, 90.00 90.00 90.00°
Fractional coordinates of all 13 atoms:
Ge  0.000  0.500  0.942
Ge  0.500  0.500  0.754
Ge  0.500  0.000  0.565
Ge  0.500  0.000  0.231
Ge  0.000  0.500  0.233
Ge  0.000  0.000  0.750
Ge  0.000  0.000  0.465
Ge  0.500  0.500  0.046
Y  0.500  0.500  0.399
Y  0.000  0.500  0.609
Y  0.000  0.000  0.099
Y  0.500  0.000  0.894
Ir  0.000  0.000  0.316

Properties
- energy relative to the elements (eV/f.u.) = -8.30
- final energy (eV per atom) = -6.15


Material: Y3GeIr
Method: DFT, GGA-PBE
State: relaxed

Cell: 5.324 5.324 5.324 Å, 90.00 90.00 90.00°
Fractional coordinates of all 5 atoms:
Ir  0.000  0.000  0.000
Y  0.500  0.000  0.000
Y  0.000  0.000  0.500
Y  0.000  0.500  0.000
Ge  0.500  0.500  0.500

Properties
- energy above the lowest structure with this stoichiometry (kJ/mol of atoms) = 0.0
- energy relative to the elements (eV/f.u.) = -1.43
- final energy (eV per atom) = -6.86


| no. | DOS(E_F) (states/eV/cell) |
| --- | --- |
| 1 | 9.9 |
| 2 | 5.3 |
| 3 | 6.6 |